{
  "formula": "BaSeS2Cl",
  "functional": "PBE",
  "state": "relaxed",
  "cell": [[6.384, 0.000, 0.000], [0.000, 6.384, 0.000], [0.000, 0.000, 5.830]],
  "species": ["S", "S", "Ba", "Se", "Cl"],
  "frac_coords": [[0.000, 0.500, 0.000], [0.500, 0.000, 0.000], [0.000, 0.000, 0.000], [0.500, 0.500, 0.500], [0.000, 0.000, 0.500]],
  "total_magnetization_mub_per_fu": 3.3,
  "sg": "P4/mmm (123)",
  "dos_at_fermi_per_ev_cell": 11.74,
  "relative_energy_mev_per_atom": 1095.2
}